The following is a PBE calculation of a geometry-optimized SrWAu2 structure, from Alexandria.

Values from the calculation:
energy of formation from the pure elements	179.8	kJ/mol of formula units
relative energy among the computed polymorphs	203	meV per atom
E_tot	-38.65	eV/cell
total moment	2.2	μB per cell
N(E_F)	4.19	states/eV/f.u.

The structure in CIF format:
```
data_SrWAu2
_chemical_formula_sum 'Sr2 W2 Au4'
_space_group_name_H-M_alt 'I m m 2'
_space_group_IT_number 44
_space_group_name_Hall 'I 2 -2'
_cell_length_a 3.055
_cell_length_b 5.133
_cell_length_c 10.775
_cell_angle_alpha 90.00
_cell_angle_beta 90.00
_cell_angle_gamma 90.00
loop_
_atom_site_label
_atom_site_type_symbol
_atom_site_fract_x
_atom_site_fract_y
_atom_site_fract_z
Sr1 Sr 0.000 0.000 0.000
W1 W 0.000 0.500 0.778
Au1 Au 0.000 0.000 0.495
Au2 Au 0.000 0.500 0.232
```